The following is a PBE calculation of crystalline DyYSiS at its relaxed geometry, from Alexandria.

## Properties
- Total DFT energy (no corrections): -6.535 eV/atom
- Calculated volume: 92.9 Å³/cell
- Energy relative to the elements, uncorrected: -31.845 kcal/mol of atoms
- Total magnetization: 0.0000 μB per atom
- N(E_F): 1.557 states/eV per cell

a b c (Å): 4.015 4.015 7.048
angles (deg): 73.45 73.45 60.00
Sites, in units of the cell vectors:
S: 0.444 0.444 0.669
Si: 0.944 0.944 0.167
Dy: 0.694 0.694 0.919
Y: 0.195 0.195 0.416



The following is a PBE calculation of crystalline Sm4DyS5 at its relaxed geometry, from Alexandria.

## Properties
- Total DFT energy (no corrections): -6.424 eV/atom
- Calculated volume: 224.4 Å³/cell
- Energy relative to the elements, uncorrected: -46.400 kcal/mol of atoms
- Total magnetization: 0.0000 μB per atom
- N(E_F): 4.639 states/eV per cell

a b c (Å): 3.987 5.637 10.564
angles (deg): 105.47 100.88 90.00
Sites, in units of the cell vectors:
Sm: 0.801 0.801 0.602
Sm: 0.400 0.400 0.799
Sm: 0.199 0.199 0.398
Sm: 0.600 0.600 0.201
Dy: 0.000 0.000 0.000
S: 0.403 0.903 0.807
S: 0.597 0.097 0.193
S: 0.000 0.500 0.000
S: 0.799 0.299 0.599
S: 0.201 0.701 0.401



The following is a PBE calculation of crystalline Sm2DyS at its relaxed geometry, from Alexandria.

## Properties
- Total DFT energy (no corrections): -5.436 eV/atom
- Calculated volume: 117.9 Å³/cell
- Energy relative to the elements, uncorrected: -20.628 kcal/mol of atoms
- Total magnetization: 0.0789 μB per atom
- N(E_F): 4.985 states/eV per cell

a b c (Å): 3.789 3.789 9.732
angles (deg): 78.77 78.77 60.00
Site moments in Bohr magnetons follow the coordinates.
Sites, in units of the cell vectors:
Dy: 0.500 0.500 0.500  0.13
S: 0.000 0.000 0.000  0.00
Sm: 0.728 0.728 0.815  0.02
Sm: 0.272 0.272 0.185  0.02



The following is a PBE calculation of crystalline Sm3DyS4 at its relaxed geometry, from Alexandria.

## Properties
- Total DFT energy (no corrections): -6.408 eV/atom
- Calculated volume: 179.0 Å³/cell
- Energy relative to the elements, uncorrected: -46.116 kcal/mol of atoms
- Total magnetization: 0.0000 μB per atom
- N(E_F): 4.294 states/eV per cell

a b c (Å): 5.636 5.636 5.636
angles (deg): 90.00 90.00 90.00
Sites, in units of the cell vectors:
Dy: 0.000 0.000 0.000
Sm: 0.000 0.500 0.500
Sm: 0.500 0.000 0.500
Sm: 0.500 0.500 0.000
S: 0.500 0.000 0.000
S: 0.000 0.500 0.000
S: 0.000 0.000 0.500
S: 0.500 0.500 0.500



Copy entry 1 word for word.
The following is a PBE calculation of crystalline DyYSiS at its relaxed geometry, from Alexandria.

## Properties
- Total DFT energy (no corrections): -6.535 eV/atom
- Calculated volume: 92.9 Å³/cell
- Energy relative to the elements, uncorrected: -31.845 kcal/mol of atoms
- Total magnetization: 0.0000 μB per atom
- N(E_F): 1.557 states/eV per cell

a b c (Å): 4.015 4.015 7.048
angles (deg): 73.45 73.45 60.00
Sites, in units of the cell vectors:
S: 0.444 0.444 0.669
Si: 0.944 0.944 0.167
Dy: 0.694 0.694 0.919
Y: 0.195 0.195 0.416